The following is a DFT calculation (SCAN) of Mg2TaCl at its PBEsol-relaxed geometry.

Properties
The total magnetization is 0.00 μB per formula unit. As for the space group: I-42d. As for the total energy: -164.61 eV per cell. The density of states at the Fermi level comes out at 0.87 states/eV/atom. The value obtained for the distance to the lowest polymorph of the same formula is 854.5 meV per atom. The raw formation energy comes out at 0.55 eV/atom.

a = 5.5012 Å, b = 5.9707 Å, c = 5.9707 Å
α = 77.75°, β = 62.57°, γ = 62.57°
Element x y z (fractional)
Ta: 0.0000 0.0000 0.0000
Ta: 0.7500 0.5000 0.5000
Mg: 0.5829 0.0421 0.5421
Mg: 0.8750 0.5421 0.9579
Mg: 0.1671 0.9579 0.4579
Mg: 0.3750 0.4579 0.0421
Cl: 0.2500 0.5000 0.5000
Cl: 0.5000 0.0000 0.0000